1.
DFT (PBE+U) results for a geometry-optimized TlCoN2O structure.

Space-group type: P4/mmm, No. 123
Total magnetization (μB per atom): 0.211
Raw total energy (eV/atom): -3.836

Lattice parameters (Å, degrees): 4.3011 4.3011 4.2169 90.00 90.00 90.00
With the nearest neighbours (Å) after each atom.
Fractional positions:
Tl 0.0000 0.0000 0.0000  2 O 2.11, 4 N 2.15
Co 0.5000 0.5000 0.5000  8 N 3.01, 4 O 3.04
N 0.0000 0.5000 0.0000  2 Tl 2.15
N 0.5000 0.0000 0.0000  2 Tl 2.15
O 0.0000 0.0000 0.5000  2 Tl 2.11

2.
DFT (PBE+U) results for a geometry-optimized TlCoN2O structure.

Space-group type: P4/mmm, No. 123
Total magnetization (μB per atom): 0.499
Raw total energy (eV/atom): -4.869

Lattice parameters (Å, degrees): 3.7285 3.7285 4.0911 90.00 90.00 90.00
With the nearest neighbours (Å) after each atom.
Fractional positions:
Tl 0.0000 0.0000 0.0000  4 O 2.64, 8 N 2.77
Co 0.5000 0.5000 0.5000  4 N 1.86, 2 O 2.05
N 0.0000 0.5000 0.5000  2 Co 1.86
N 0.5000 0.0000 0.5000  2 Co 1.86
O 0.5000 0.5000 0.0000  2 Co 2.05

3.
DFT (PBE+U) results for a geometry-optimized VCoNO2 structure.

Space-group type: P4/mmm, No. 123
Total magnetization (μB per atom): 0.008
Raw total energy (eV/atom): -5.942

Lattice parameters (Å, degrees): 3.7605 3.7605 3.4527 90.00 90.00 90.00
With the nearest neighbours (Å) after each atom.
Fractional positions:
V 0.0000 0.0000 0.0000  8 O 2.55, 4 N 2.66
Co 0.5000 0.5000 0.5000  2 N 1.73, 4 O 1.88
N 0.5000 0.5000 0.0000  2 Co 1.73
O 0.0000 0.5000 0.5000  2 Co 1.88
O 0.5000 0.0000 0.5000  2 Co 1.88

4.
DFT (PBE+U) results for a geometry-optimized VCoN2O structure.

Space-group type: P4/mmm, No. 123
Total magnetization (μB per atom): 0.047
Raw total energy (eV/atom): -6.176

Lattice parameters (Å, degrees): 3.5872 3.5872 3.8943 90.00 90.00 90.00
With the nearest neighbours (Å) after each atom.
Fractional positions:
V 0.0000 0.0000 0.0000  4 O 2.54, 8 N 2.65
Co 0.5000 0.5000 0.5000  4 N 1.79, 2 O 1.95
N 0.0000 0.5000 0.5000  2 Co 1.79
N 0.5000 0.0000 0.5000  2 Co 1.79
O 0.5000 0.5000 0.0000  2 Co 1.95

5.
DFT (PBE+U) results for a geometry-optimized VCoN2O structure.

Space-group type: P4/mmm, No. 123
Total magnetization (μB per atom): 0.677
Raw total energy (eV/atom): -6.456

Lattice parameters (Å, degrees): 3.8145 3.8145 3.7433 90.00 90.00 90.00
With the nearest neighbours (Å) after each atom.
Fractional positions:
V 0.0000 0.0000 0.0000  2 O 1.87, 4 N 1.91
Co 0.5000 0.5000 0.5000  8 N 2.67, 4 O 2.70
N 0.0000 0.5000 0.0000  2 V 1.91
N 0.5000 0.0000 0.0000  2 V 1.91
O 0.0000 0.0000 0.5000  2 V 1.87

6.
DFT (PBE+U) results for a geometry-optimized VCoNO2 structure.

Space-group type: P4/mmm, No. 123
Total magnetization (μB per atom): 0.463
Raw total energy (eV/atom): -6.414

Lattice parameters (Å, degrees): 3.7324 3.7324 3.8839 90.00 90.00 90.00
With the nearest neighbours (Å) after each atom.
Fractional positions:
V 0.0000 0.0000 0.0000  4 O 1.87, 2 N 1.94
Co 0.5000 0.5000 0.5000  4 N 2.64, 8 O 2.69
N 0.0000 0.0000 0.5000  2 V 1.94
O 0.0000 0.5000 0.0000  2 V 1.87
O 0.5000 0.0000 0.0000  2 V 1.87